# NaPrS2 | Alexandria | GGA-PBE | relaxed
# **Electronic total energy**: -0.19406 hartree per atom
# **Uncorrected formation energy**: -1.692 eV per atom
data_NaPrS2
_symmetry_space_group_name_H-M 'P 4/m m m'
_symmetry_Int_Tables_number 123
_symmetry_space_group_name_Hall '-P 4 2'
_cell_length_a 4.1507
_cell_length_b 4.1507
_cell_length_c 5.6397
_cell_angle_alpha 90.00
_cell_angle_beta 90.00
_cell_angle_gamma 90.00
loop_
_atom_site_label
_atom_site_fract_x
_atom_site_fract_y
_atom_site_fract_z
Na1 0.0000 0.0000 0.0000
Pr1 0.5000 0.5000 0.5000
S1 0.0000 0.0000 0.5000
S2 0.5000 0.5000 0.0000



# NaPrS2 | Alexandria | GGA-PBE | relaxed
# **Electronic total energy**: -0.19702 hartree per atom
# **Uncorrected formation energy**: -1.773 eV per atom
data_NaPrS2
_symmetry_space_group_name_H-M 'I 41/a m d'
_symmetry_Int_Tables_number 141
_cell_length_a 5.7511
_cell_length_b 5.7511
_cell_length_c 12.0758
_cell_angle_alpha 90.00
_cell_angle_beta 90.00
_cell_angle_gamma 90.00
loop_
_symmetry_equiv_pos_as_xyz
'x,y,z'
'-x,-y,-z'
'-y+1/4,x+3/4,z+1/4'
'y+1/4,-x+3/4,-z+1/4'
'-x+1/2,-y,z+1/2'
'x+1/2,y,-z+1/2'
'y+1/4,-x+1/4,z+3/4'
'-y+1/4,x+1/4,-z+3/4'
'x,-y,-z'
'-x,y,z'
'-y+1/4,-x+1/4,-z+3/4'
'y+1/4,x+1/4,z+3/4'
'-x+1/2,y,-z+1/2'
'x+1/2,-y,z+1/2'
'y+1/4,x+3/4,-z+1/4'
'-y+1/4,-x+3/4,z+1/4'
'x+1/2,y+1/2,z+1/2'
'-x+1/2,-y+1/2,-z+1/2'
'-y+3/4,x+1/4,z+3/4'
'y+3/4,-x+1/4,-z+3/4'
'-x,-y+1/2,z'
'x,y+1/2,-z'
'y+3/4,-x+3/4,z+1/4'
'-y+3/4,x+3/4,-z+1/4'
'x+1/2,-y+1/2,-z+1/2'
'-x+1/2,y+1/2,z+1/2'
'-y+3/4,-x+3/4,-z+1/4'
'y+3/4,x+3/4,z+1/4'
'-x,y+1/2,-z'
'x,-y+1/2,z'
'y+3/4,x+1/4,-z+3/4'
'-y+3/4,-x+1/4,z+3/4'
loop_
_atom_site_label
_atom_site_fract_x
_atom_site_fract_y
_atom_site_fract_z
Na1 0.0000 0.2500 0.3750
Pr1 0.0000 0.2500 0.8750
S1 0.0000 0.2500 0.1117



# NaPr3S4 | Alexandria | GGA-PBE | relaxed
# **Electronic total energy**: -0.21777 hartree per atom
# **Uncorrected formation energy**: -1.905 eV per atom
# **Energy above the most stable polymorph in this dataset**: 23 meV per atom
data_NaPr3S4
_symmetry_space_group_name_H-M 'C m m m'
_symmetry_Int_Tables_number 65
_symmetry_space_group_name_Hall '-C 2 2'
_cell_length_a 8.2280
_cell_length_b 11.5983
_cell_length_c 4.0948
_cell_angle_alpha 90.00
_cell_angle_beta 90.00
_cell_angle_gamma 90.00
loop_
_atom_site_label
_atom_site_fract_x
_atom_site_fract_y
_atom_site_fract_z
Na1 0.0000 0.0000 0.0000
Pr1 0.0000 0.5000 0.0000
Pr2 0.2500 0.2500 0.5000
S1 0.0000 0.2484 0.0000
S2 0.2487 0.5000 0.5000



# NaPr6S8 | Alexandria | GGA-PBE | relaxed
# **Electronic total energy**: -0.22620 hartree per atom
# **Uncorrected formation energy**: -1.954 eV per atom
data_NaPr6S8
_symmetry_space_group_name_H-M 'F m -3 m'
_symmetry_Int_Tables_number 225
_symmetry_space_group_name_Hall '-F 4 2 3'
_cell_length_a 11.5529
_cell_length_b 11.5529
_cell_length_c 11.5529
_cell_angle_alpha 90.00
_cell_angle_beta 90.00
_cell_angle_gamma 90.00
loop_
_atom_site_label
_atom_site_fract_x
_atom_site_fract_y
_atom_site_fract_z
Na1 0.0000 0.0000 0.0000
Pr1 0.0000 0.2500 0.2500
S1 0.0000 0.0000 0.2484
S2 0.2500 0.2500 0.2500



# NaPrS2 | Alexandria | GGA-PBE | relaxed
# **Electronic total energy**: -0.19733 hartree per atom
# **Uncorrected formation energy**: -1.781 eV per atom
data_NaPrS2
_symmetry_space_group_name_H-M 'R -3 m'
_symmetry_Int_Tables_number 166
_symmetry_space_group_name_Hall '-R 3 2"'
_cell_length_a 4.1664
_cell_length_b 4.1664
_cell_length_c 20.0950
_cell_angle_alpha 90.00
_cell_angle_beta 90.00
_cell_angle_gamma 120.00
loop_
_atom_site_label
_atom_site_fract_x
_atom_site_fract_y
_atom_site_fract_z
Na1 0.0000 0.0000 0.0000
Pr1 0.0000 0.0000 0.5000
S1 0.0000 0.0000 0.2449



# Na4Pr3SbS8 | Alexandria | GGA-PBE | relaxed
# **Electronic total energy**: -0.18535 hartree per atom
# **Uncorrected formation energy**: -1.496 eV per atom
data_Na4Pr3SbS8
_symmetry_space_group_name_H-M 'R -3 m'
_symmetry_Int_Tables_number 166
_symmetry_space_group_name_Hall '-R 3 2"'
_cell_length_a 8.2558
_cell_length_b 8.2558
_cell_length_c 20.1146
_cell_angle_alpha 90.00
_cell_angle_beta 90.00
_cell_angle_gamma 120.00
loop_
_atom_site_label
_atom_site_fract_x
_atom_site_fract_y
_atom_site_fract_z
Na1 0.0000 0.0000 0.0000
Na2 0.0000 0.5000 0.0000
Pr1 0.0000 0.5000 0.5000
Sb1 0.0000 0.0000 0.5000
S1 0.0000 0.0000 0.2451
S2 0.0082 0.5041 0.2441



# Na3Pr2ScS6 | Alexandria | GGA-PBE | relaxed
# **Electronic total energy**: -0.20084 hartree per atom
# **Uncorrected formation energy**: -1.748 eV per atom
data_Na3Pr2ScS6
_symmetry_space_group_name_H-M 'C 1 2/m 1'
_symmetry_Int_Tables_number 12
_cell_length_a 6.9975
_cell_length_b 12.1281
_cell_length_c 7.0846
_cell_angle_alpha 90.00
_cell_angle_beta 109.29
_cell_angle_gamma 90.00
loop_
_symmetry_equiv_pos_as_xyz
'x,y,z'
'-x,-y,-z'
'-x,y,-z'
'x,-y,z'
'x+1/2,y+1/2,z'
'-x+1/2,-y+1/2,-z'
'-x+1/2,y+1/2,-z'
'x+1/2,-y+1/2,z'
loop_
_atom_site_label
_atom_site_fract_x
_atom_site_fract_y
_atom_site_fract_z
Na1 0.0000 0.0000 0.0000
Na2 0.0000 0.3344 0.0000
Pr1 0.0000 0.1667 0.5000
Sc1 0.0000 0.5000 0.5000
S1 0.2321 0.3442 0.7288
S2 0.2354 0.5000 0.2749



# Na3PrSc2S6 | Alexandria | GGA-PBE | relaxed
# **Electronic total energy**: -0.20514 hartree per atom
# **Uncorrected formation energy**: -1.735 eV per atom
data_Na3PrSc2S6
_symmetry_space_group_name_H-M 'C 1 2/m 1'
_symmetry_Int_Tables_number 12
_cell_length_a 6.7628
_cell_length_b 11.7266
_cell_length_c 7.0458
_cell_angle_alpha 90.00
_cell_angle_beta 108.84
_cell_angle_gamma 90.00
loop_
_symmetry_equiv_pos_as_xyz
'x,y,z'
'-x,-y,-z'
'-x,y,-z'
'x,-y,z'
'x+1/2,y+1/2,z'
'-x+1/2,-y+1/2,-z'
'-x+1/2,y+1/2,-z'
'x+1/2,-y+1/2,z'
loop_
_atom_site_label
_atom_site_fract_x
_atom_site_fract_y
_atom_site_fract_z
Na1 0.0000 0.0000 0.0000
Na2 0.0000 0.3358 0.0000
Pr1 0.0000 0.5000 0.5000
Sc1 0.0000 0.1673 0.5000
S1 0.2183 0.0000 0.7224
S2 0.2477 0.1781 0.2793



What is the uncorrected formation energy in the seventh record?
-1.748 eV per atom



electronic total energy of number 4 (NaPr6S8)?
-0.22620 hartree per atom



Repeat the fourth record exactly.
# NaPr6S8 | Alexandria | GGA-PBE | relaxed
# **Electronic total energy**: -0.22620 hartree per atom
# **Uncorrected formation energy**: -1.954 eV per atom
data_NaPr6S8
_symmetry_space_group_name_H-M 'F m -3 m'
_symmetry_Int_Tables_number 225
_symmetry_space_group_name_Hall '-F 4 2 3'
_cell_length_a 11.5529
_cell_length_b 11.5529
_cell_length_c 11.5529
_cell_angle_alpha 90.00
_cell_angle_beta 90.00
_cell_angle_gamma 90.00
loop_
_atom_site_label
_atom_site_fract_x
_atom_site_fract_y
_atom_site_fract_z
Na1 0.0000 0.0000 0.0000
Pr1 0.0000 0.2500 0.2500
S1 0.0000 0.0000 0.2484
S2 0.2500 0.2500 0.2500